Density functional theory data (PBE) for a geometry-optimized SrTmTcN3 structure.

Cell and atoms, written as CIF:
```
data_SrTmTcN3
_chemical_formula_sum 'Sr2 Tm2 Tc2 N6'
_cell_length_a 3.457
_cell_length_b 9.235
_cell_length_c 6.423
_cell_angle_alpha 105.61
_cell_angle_beta 90.00
_cell_angle_gamma 90.00
_space_group_name_H-M_alt 'P 1'
_space_group_IT_number 1
loop_
_space_group_symop_operation_xyz
'x,y,z'
loop_
_atom_site_label
_atom_site_fract_x
_atom_site_fract_y
_atom_site_fract_z
_atom_site_occupancy
N1 0.750 0.494 0.214 1
Tm1 0.250 0.638 0.143 1
Tm2 0.750 0.362 0.857 1
Sr1 0.750 0.687 0.666 1
N2 0.750 0.154 0.510 1
N3 0.250 0.187 0.914 1
N4 0.250 0.506 0.786 1
Tc1 0.250 0.078 0.641 1
N5 0.250 0.846 0.490 1
Sr2 0.250 0.313 0.334 1
Tc2 0.750 0.922 0.359 1
N6 0.750 0.813 0.086 1
```

Results
The calculation puts the size of the total moment at 0.00 μB per atom. Its total energy is -0.2838 hartree per atom. The calculation puts the density at 6.670 g/cm3. The value obtained for the uncorrected formation energy is -805.6 meV/atom.